[1]
Entry from the Open Quantum Materials Database: a relaxed structure of TmLuSnTe3 (GGA-PBE).

Cell: 7.884 7.884 11.831 Å, 90.00 90.00 148.67°
Atoms (fractional coordinates):
Lu1 0.056 0.944 0.250
Lu2 0.944 0.056 0.750
Sn1 0.717 0.283 0.250
Sn2 0.283 0.717 0.750
Te1 0.143 0.857 0.029
Te2 0.421 0.579 0.250
Te3 0.143 0.857 0.471
Te4 0.857 0.143 0.529
Te5 0.579 0.421 0.750
Te6 0.857 0.143 0.971
Tm1 0.500 0.500 0.000
Tm2 0.500 0.500 0.500

Calculated total energy ... -54.44 eV per cell
Symmetry ... Cmcm, No. 63



[2]
Entry from the Open Quantum Materials Database: a relaxed structure of LuCuPt (GGA-PBE).

Cell: 4.484 4.484 4.484 Å, 60.00 60.00 60.00°
Atoms (fractional coordinates):
Cu1 0.250 0.250 0.250
Lu1 0.000 0.000 0.000
Pt1 0.750 0.750 0.750

Calculated total energy ... -15.24 eV per cell
Symmetry ... F-43m, No. 216



[3]
Entry from the Open Quantum Materials Database: a relaxed structure of Cs3ErSi4O10F2 (GGA-PBE).

Cell: 7.008 7.041 16.012 Å, 95.92 90.08 119.78°
Atoms (fractional coordinates):
Cs1 0.845 0.685 0.051
Cs2 0.875 0.737 0.320
Cs3 0.186 0.357 0.420
Cs4 0.814 0.643 0.580
Cs5 0.125 0.263 0.680
Cs6 0.155 0.315 0.949
Er1 0.500 0.000 0.000
Er2 0.500 0.000 0.500
F1 0.607 0.773 0.447
F2 0.160 0.764 0.456
F3 0.840 0.236 0.544
F4 0.393 0.227 0.553
O1 0.429 0.242 0.072
O2 0.296 0.748 0.084
O3 0.792 0.100 0.086
O4 0.448 0.562 0.184
O5 0.123 0.147 0.188
O6 0.034 0.474 0.191
O7 0.536 0.283 0.238
O8 0.345 0.856 0.255
O9 0.781 0.105 0.259
O10 0.561 0.167 0.387
O11 0.439 0.833 0.613
O12 0.219 0.895 0.741
O13 0.655 0.144 0.745
O14 0.464 0.717 0.762
O15 0.966 0.526 0.809
O16 0.877 0.853 0.812
O17 0.552 0.438 0.816
O18 0.208 0.900 0.914
O19 0.704 0.252 0.916
O20 0.571 0.758 0.928
Si1 0.383 0.300 0.165
Si2 0.287 0.669 0.174
Si3 0.921 0.202 0.176
Si4 0.553 0.101 0.289
Si5 0.447 0.899 0.711
Si6 0.079 0.798 0.824
Si7 0.713 0.331 0.826
Si8 0.617 0.700 0.835

Calculated total energy ... -279.55 eV per cell
Symmetry ... P-1, No. 2



[4]
Entry from the Open Quantum Materials Database: a relaxed structure of HfNiAsPd (GGA-PBE).

Cell: 4.466 4.466 4.466 Å, 60.00 60.00 60.00°
Atoms (fractional coordinates):
As1 0.000 0.000 0.000
Hf1 0.250 0.250 0.250
Ni1 0.750 0.750 0.750
Pd1 0.500 0.500 0.500

Calculated total energy ... -27.04 eV per cell
Symmetry ... F-43m, No. 216



[5]
Entry from the Open Quantum Materials Database: a relaxed structure of SmBi (GGA-PBE).

Cell: 4.548 4.548 4.548 Å, 60.00 60.00 60.00°
Atoms (fractional coordinates):
Bi1 0.000 0.000 0.000
Sm1 0.500 0.500 0.500

Calculated total energy ... -10.65 eV per cell
Symmetry ... Fm-3m, No. 225



[6]
Entry from the Open Quantum Materials Database: a relaxed structure of RbHoAsO (GGA-PBE).

Cell: 5.878 5.878 5.281 Å, 90.00 90.00 90.00°
Atoms (fractional coordinates):
As1 0.000 0.500 0.499
As2 0.500 0.000 0.501
Ho1 0.000 0.000 0.500
Ho2 0.500 0.500 0.500
O1 0.000 0.000 0.000
O2 0.500 0.500 0.000
Rb1 0.500 0.000 0.001
Rb2 0.000 0.500 0.999

Calculated total energy ... -37.32 eV per cell
Symmetry ... P4/nmm, No. 129



[7]
Entry from the Open Quantum Materials Database: a relaxed structure of Dy2Ho2SiI5 (GGA-PBE).

Cell: 9.766 9.766 8.763 Å, 102.51 102.51 24.73°
Atoms (fractional coordinates):
Dy1 0.000 0.000 0.209
Dy2 0.000 0.000 0.791
Ho1 0.644 0.644 0.073
Ho2 0.356 0.356 0.927
I1 0.828 0.828 0.169
I2 0.167 0.167 0.336
I3 0.500 0.500 0.500
I4 0.833 0.833 0.664
I5 0.172 0.172 0.831
Si1 0.500 0.500 0.000

Calculated total energy ... -43.08 eV per cell
Symmetry ... C2/m, No. 12



[8]
Entry from the Open Quantum Materials Database: a relaxed structure of YPIrO (GGA-PBE).

Cell: 4.603 4.202 6.500 Å, 90.00 90.00 90.00°
Atoms (fractional coordinates):
Ir1 0.000 0.314 0.438
Ir2 0.000 0.686 0.938
O1 0.500 0.300 0.437
O2 0.500 0.700 0.937
P1 0.000 0.812 0.286
P2 0.000 0.188 0.786
Y1 0.500 0.211 0.093
Y2 0.500 0.789 0.593

Calculated total energy ... -62.77 eV per cell
Symmetry ... Pmc2_1, No. 26



[9]
Entry from the Open Quantum Materials Database: a relaxed structure of Cu2SiPd (GGA-PBE).

Cell: 4.174 4.174 4.174 Å, 60.00 60.00 60.00°
Atoms (fractional coordinates):
Cu1 0.000 0.000 0.000
Cu2 0.750 0.750 0.750
Pd1 0.250 0.250 0.250
Si1 0.500 0.500 0.500

Calculated total energy ... -18.83 eV per cell
Symmetry ... F-43m, No. 216



[10]
Entry from the Open Quantum Materials Database: a relaxed structure of AlMo3 (GGA-PBE).

Cell: 5.609 5.609 4.634 Å, 90.00 90.00 120.00°
Atoms (fractional coordinates):
Al1 0.667 0.333 0.250
Al2 0.333 0.667 0.750
Mo1 0.160 0.319 0.250
Mo2 0.681 0.840 0.250
Mo3 0.160 0.840 0.250
Mo4 0.840 0.160 0.750
Mo5 0.319 0.160 0.750
Mo6 0.840 0.681 0.750

Calculated total energy ... -72.52 eV per cell
Symmetry ... P6_3/mmc, No. 194



[11]
Entry from the Open Quantum Materials Database: a relaxed structure of Cu2Ag3 (GGA-PBE).

Cell: 2.868 2.868 18.853 Å, 90.00 90.00 90.00°
Atoms (fractional coordinates):
Ag1 0.000 0.000 0.076
Ag2 0.500 0.500 0.190
Ag3 0.000 0.000 0.303
Ag4 0.500 0.500 0.417
Ag5 0.500 0.500 0.610
Ag6 0.500 0.500 0.804
Cu1 0.000 0.000 0.513
Cu2 0.000 0.000 0.707
Cu3 0.000 0.000 0.901
Cu4 0.500 0.500 0.979

Calculated total energy ... -31.15 eV per cell
Symmetry ... P4mm, No. 99



[12]
Entry from the Open Quantum Materials Database: a relaxed structure of Zr4Ga3Mo2C3 (GGA-PBE).

Cell: 5.598 5.598 14.066 Å, 101.58 101.58 60.19°
Atoms (fractional coordinates):
C1 0.500 0.000 0.000
C2 0.826 0.337 0.000
C3 0.663 0.174 0.500
C4 0.000 0.500 0.500
C5 0.337 0.826 0.500
C6 0.174 0.663 0.000
Ga1 0.583 0.699 0.249
Ga2 0.861 0.139 0.250
Ga3 0.301 0.417 0.251
Ga4 0.699 0.583 0.749
Ga5 0.139 0.861 0.750
Ga6 0.417 0.301 0.751
Mo1 0.526 0.353 0.079
Mo2 0.647 0.474 0.421
Mo3 0.353 0.526 0.579
Mo4 0.474 0.647 0.921
Zr1 0.871 0.699 0.097
Zr2 0.195 0.037 0.097
Zr3 0.963 0.805 0.403
Zr4 0.301 0.129 0.403
Zr5 0.699 0.871 0.597
Zr6 0.037 0.195 0.597
Zr7 0.805 0.963 0.903
Zr8 0.129 0.301 0.903

Calculated total energy ... -199.66 eV per cell
Symmetry ... C2/c, No. 15